[1]
Compound: Pr2ZrNpN6
Source: Alexandria via LeMat-Bulk
Functional: PBE
Structure: optimized geometry

Values from the calculation:
* space-group type: P2_1/c
* raw formation energy: -1.12 eV per atom
* calculated volume: 14.455 Å³ per atom

```
Pr2ZrNpN6
1.0
5.866 0.000 0.000
0.000 5.915 0.000
-5.855 0.000 8.333
Pr Zr Np N
4 2 2 12
Cartesian
-0.068 0.235 2.091 Pr
-2.996 2.722 6.257 Pr
3.006 3.193 2.076 Pr
0.079 5.680 6.242 Pr
2.933 0.000 0.000 Zr
0.005 2.957 4.166 Zr
-2.928 0.000 4.166 Np
0.000 2.957 0.000 Np
-4.633 1.306 7.877 N
-1.706 1.651 3.711 N
-4.221 4.172 7.914 N
-1.293 4.700 3.748 N
-2.362 0.164 6.190 N
0.565 2.793 2.024 N
-0.555 3.122 6.309 N
2.373 5.751 2.143 N
1.303 1.215 4.585 N
4.231 1.743 0.418 N
1.716 4.264 4.622 N
4.644 4.609 0.456 N
```

[2]
Compound: Np2PtN
Source: Alexandria via LeMat-Bulk
Functional: PBE
Structure: optimized geometry

Values from the calculation:
* space-group type: R-3m
* raw formation energy: -0.34 eV per atom
* calculated volume: 17.069 Å³ per atom

```
Np2PtN
1.0
1.508 0.871 8.667
-1.508 0.871 8.667
0.000 -1.741 8.667
Np Pt N
2 1 1
Cartesian
0.000 0.000 2.786 Np
0.000 0.000 23.214 Np
0.000 0.000 0.000 Pt
0.000 0.000 13.000 N
```

[3]
Compound: NpPtN
Source: Alexandria via LeMat-Bulk
Functional: PBE
Structure: optimized geometry

Values from the calculation:
* space-group type: Pmmn
* raw formation energy: -0.90 eV per atom
* calculated volume: 17.093 Å³ per atom

```
NpPtN
1.0
3.865 0.000 0.000
0.000 3.877 0.000
0.000 0.000 6.844
Np Pt N
2 2 2
Cartesian
0.966 0.969 1.127 Np
2.899 2.908 5.717 Np
0.966 2.908 3.421 Pt
2.899 0.969 3.423 Pt
0.966 2.908 0.003 N
2.899 0.969 6.842 N
```

[4]
Compound: Np2PtN
Source: Alexandria via LeMat-Bulk
Functional: PBE
Structure: optimized geometry

Values from the calculation:
* space-group type: P4/mmm
* raw formation energy: -0.39 eV per atom
* calculated volume: 16.531 Å³ per atom

```
Np2PtN
1.0
3.014 0.000 0.000
0.000 3.014 0.000
0.000 0.000 7.279
Np Pt N
2 1 1
Cartesian
0.000 0.000 1.411 Np
0.000 0.000 5.868 Np
1.507 1.507 3.640 Pt
1.507 1.507 0.000 N
```

Summary of raw total energy in eV/atom
-9.218; -10.397; -10.004; -10.447
(order as listed above)
Summary of M_tot in μB per cell
0.00; 5.63; 5.40; 7.38
(order as listed above)
Summary of calculated density in g/cm3
7.973; 16.614; 14.446; 17.154
(order as listed above)